# 1
4
Lattice="3.070 0.000 0.000 0.000 4.213 0.000 0.000 0.000 4.383" Properties=species:S:1:pos:R:3 comment="ScCoTc2, PBEsol geometry, DFT SCAN" ef_ev_per_fu=-0.54 de_polymorph_mev_per_atom=49 pbc="T T T"
Co 1.535 0.000 2.191
Sc 0.000 2.106 2.191
Tc 0.000 0.000 0.000
Tc 1.535 2.106 0.000

---

# 2
4
Lattice="-2.309 -0.212 3.817 -2.005 -3.730 -1.420 3.446 -2.591 1.941" Properties=species:S:1:pos:R:3 comment="SrIn2Fe, PBEsol geometry, DFT SCAN" ef_ev_per_fu=0.50 pbc="T T T"
Fe 1.723 -1.295 0.970
In -1.002 -1.865 -0.710
In -1.154 -0.106 1.909
Sr -0.434 -3.266 2.169